A plane-wave DFT calculation with PBE-GGA was carried out for a geometry-optimized Li2IrRh structure.

Cell: 2.6315 4.4103 4.6823 Å, 90.00 91.74 90.00°
With the nearest neighbours (Å) after each atom.
Element x y z (fractional)
Li  0.2412  0.0000  0.2495  2 Rh 2.59, 2 Ir 2.60, 6 Li 2.62-2.74
Li  0.7588  0.0000  0.7505  2 Rh 2.59, 2 Ir 2.60, 6 Li 2.62-2.74
Ir  0.5000  0.5000  0.0000  4 Li 2.60, 2 Ir 2.63, 4 Rh 2.65-2.72
Rh  0.0000  0.5000  0.5000  4 Li 2.59, 2 Rh 2.63, 4 Ir 2.65-2.72

**Energy above the most stable polymorph in this dataset**: 0.65 kcal/mol of atoms
**Raw total energy**: -5.20 eV/atom
**SG**: No. 10
**Formation enthalpy at 0 K**: -0.1884 eV/atom
**Spin magnetization**: 0.00 μB/cell
**D(E_F)**: 2.9 states/eV/f.u.